(1)
An optimized crystal structure of Ba3YNb. Source: the Alexandria database, functional PBE-GGA.

Calculated values
Calculated formation energy   0.929 eV per atom
E above lowest polymorph   0 meV per atom
Space group   Pm-3m, No. 221
DFT total energy   -3.531 eV per atom

a b c (Å): 6.119 6.119 6.119
angles (deg): 90.00 90.00 90.00
Fractional positions:
Ba  0.000  0.000  0.500
Y  0.500  0.500  0.500
Nb  0.000  0.000  0.000
Ba  0.000  0.500  0.000
Ba  0.500  0.000  0.000


(2)
An optimized crystal structure of BaYNb2. Source: the Alexandria database, functional PBE-GGA.

Calculated values
Calculated formation energy   1.338 eV per atom
E above lowest polymorph   234 meV per atom
Space group   I-42d, No. 122
DFT total energy   -5.794 eV per atom

a b c (Å): 8.451 8.451 6.700
angles (deg): 50.90 50.90 90.00
Fractional positions:
Ba  0.750  0.250  0.500
Nb  0.618  0.125  0.250
Nb  0.132  0.625  0.250
Nb  0.875  0.868  0.750
Nb  0.375  0.382  0.750
Ba  0.000  0.000  0.000
Y  0.250  0.750  0.500
Y  0.500  0.500  0.000


(3)
An optimized crystal structure of BaNb2Zn. Source: the Alexandria database, functional PBE-GGA.

Calculated values
Calculated formation energy   0.188 eV per atom
Space group   P1, No. 1
DFT total energy   -5.646 eV per atom

a b c (Å): 4.478 4.772 12.789
angles (deg): 86.35 80.04 62.02
Fractional positions:
Nb  0.031  0.620  0.047
Zn  0.455  0.448  0.374
Nb  0.906  0.671  0.248
Ba  0.801  0.264  0.862
Zn  0.176  0.062  0.319
Nb  0.643  0.282  0.162
Nb  0.337  0.962  0.093
Ba  0.679  0.840  0.537


(4)
An optimized crystal structure of BaNb2Zn. Source: the Alexandria database, functional PBE-GGA.

Calculated values
Calculated formation energy   0.210 eV per atom
Space group   P1, No. 1
DFT total energy   -5.624 eV per atom

a b c (Å): 4.417 4.922 12.348
angles (deg): 95.74 90.30 116.64
Fractional positions:
Zn  0.889  0.176  0.093
Nb  0.812  0.017  0.309
Zn  0.135  0.660  0.385
Ba  0.807  0.998  0.603
Ba  0.548  0.501  0.926
Nb  0.454  0.297  0.414
Nb  0.515  0.424  0.218
Nb  0.216  0.829  0.168


(5)
An optimized crystal structure of BaNbZn3. Source: the Alexandria database, functional PBE-GGA.

Calculated values
Calculated formation energy   0.323 eV per atom
E above lowest polymorph   0 meV per atom
Space group   Pm-3m, No. 221
DFT total energy   -2.839 eV per atom

a b c (Å): 5.153 5.153 5.153
angles (deg): 90.00 90.00 90.00
Fractional positions:
Ba  0.500  0.500  0.500
Nb  0.000  0.000  0.000
Zn  0.000  0.000  0.500
Zn  0.500  0.000  0.000
Zn  0.000  0.500  0.000


(6)
An optimized crystal structure of BaNb2Zn. Source: the Alexandria database, functional PBE-GGA.

Calculated values
Calculated formation energy   0.156 eV per atom
Space group   Cm, No. 8
DFT total energy   -5.678 eV per atom

a b c (Å): 13.253 4.611 8.013
angles (deg): 90.00 101.84 90.00
Fractional positions:
Ba  0.248  0.500  0.827
Ba  0.248  0.000  0.327
Nb  0.799  0.500  0.010
Ba  0.572  0.000  0.767
Nb  0.869  0.500  0.367
Nb  0.957  0.000  0.230
Zn  0.079  0.000  0.937
Nb  0.008  0.500  0.080
Ba  0.572  0.500  0.267
Nb  0.008  0.000  0.580
Nb  0.957  0.500  0.730
Zn  0.747  0.000  0.159
Zn  0.079  0.500  0.437
Nb  0.799  0.000  0.510
Zn  0.747  0.500  0.659
Nb  0.869  0.000  0.867


(7)
An optimized crystal structure of BaNbZn3. Source: the Alexandria database, functional PBE-GGA.

Calculated values
Calculated formation energy   1.822 eV per atom
E above lowest polymorph   1498 meV per atom
Space group   Pm-3m, No. 221
DFT total energy   -1.341 eV per atom

a b c (Å): 5.422 5.422 5.422
angles (deg): 90.00 90.00 90.00
Fractional positions:
Nb  0.500  0.500  0.500
Ba  0.000  0.000  0.000
Zn  0.500  0.000  0.000
Zn  0.000  0.000  0.500
Zn  0.000  0.500  0.000


(8)
An optimized crystal structure of BaNb2Zn. Source: the Alexandria database, functional PBE-GGA.

Calculated values
Calculated formation energy   0.149 eV per atom
Space group   P2_1/m, No. 11
DFT total energy   -5.685 eV per atom

a b c (Å): 3.521 4.545 12.936
angles (deg): 90.00 90.37 90.00
Fractional positions:
Ba  0.492  0.250  0.132
Nb  0.502  0.250  0.582
Nb  0.998  0.250  0.410
Nb  0.002  0.750  0.590
Zn  0.006  0.250  0.744
Nb  0.498  0.750  0.418
Ba  0.508  0.750  0.868
Zn  0.994  0.750  0.256


(9)
An optimized crystal structure of BaNb3Zn. Source: the Alexandria database, functional PBE-GGA.

Calculated values
Calculated formation energy   1.316 eV per atom
E above lowest polymorph   0 meV per atom
Space group   Pm-3m, No. 221
DFT total energy   -5.365 eV per atom

a b c (Å): 5.006 5.006 5.006
angles (deg): 90.00 90.00 90.00
Fractional positions:
Nb  0.500  0.000  0.000
Ba  0.500  0.500  0.500
Zn  0.000  0.000  0.000
Nb  0.000  0.500  0.000
Nb  0.000  0.000  0.500


(10)
An optimized crystal structure of BaNb2Zn. Source: the Alexandria database, functional PBE-GGA.

Calculated values
Calculated formation energy   0.898 eV per atom
Space group   I4_1/amd, No. 141
DFT total energy   -4.936 eV per atom

a b c (Å): 4.884 4.884 10.753
angles (deg): 76.88 76.88 90.00
Fractional positions:
Ba  0.000  0.000  0.000
Nb  0.875  0.625  0.750
Ba  0.750  0.250  0.500
Nb  0.375  0.625  0.750
Nb  0.375  0.625  0.250
Zn  0.500  0.500  0.000
Zn  0.250  0.750  0.500
Nb  0.375  0.125  0.250


(11)
An optimized crystal structure of Ba2NbZn. Source: the Alexandria database, functional PBE-GGA.

Calculated values
Calculated formation energy   0.866 eV per atom
Space group   I-42d, No. 122
DFT total energy   -2.931 eV per atom

a b c (Å): 9.094 9.094 7.240
angles (deg): 51.09 51.09 90.00
Fractional positions:
Ba  0.138  0.625  0.250
Ba  0.375  0.388  0.750
Zn  0.500  0.500  0.000
Ba  0.612  0.125  0.250
Zn  0.250  0.750  0.500
Nb  0.000  0.000  0.000
Nb  0.750  0.250  0.500
Ba  0.875  0.862  0.750


(12)
An optimized crystal structure of BaNb2Zn. Source: the Alexandria database, functional PBE-GGA.

Calculated values
Calculated formation energy   0.318 eV per atom
Space group   P4mm, No. 99
DFT total energy   -5.516 eV per atom

a b c (Å): 3.510 3.510 7.962
angles (deg): 90.00 90.00 90.00
Fractional positions:
Zn  0.500  0.500  0.327
Ba  0.000  0.000  0.012
Nb  0.000  0.000  0.515
Nb  0.500  0.500  0.670


Q: Which of these has the lowest DFT total energy?
A: BaYNb2


Q: Which of these has the highest DFT total energy?
A: number 7